[1]
The following is a PBE calculation of crystalline BeTe2Cl at its relaxed geometry, from Alexandria.

Output
N(E_F): 3.56 states/eV/cell
raw formation energy: 0.017 eV/atom

Cell: 9.322 3.800 7.595 Å, 90.00 124.67 90.00°
Space group C2/m (No. 12)
Asymmetric unit:
Be: 0.000 0.000 0.000 [2 per cell]
Te: 0.190 0.500 0.179 [4 per cell]
Cl: 0.000 0.500 0.500 [2 per cell]

[2]
The following is a PBE calculation of crystalline LiAcMg2F8 at its relaxed geometry, from Alexandria.

Output
N(E_F): 0.00 states/eV/cell
raw formation energy: -3.542 eV/atom

Cell: 5.081 6.578 5.084 Å, 90.00 92.58 90.00°
Space group P2/m (No. 10)
Asymmetric unit:
Li: 0.000 0.000 0.000 [1 per cell]
Ac: 0.000 0.500 0.000 [1 per cell]
Mg: 0.500 0.222 0.500 [2 per cell]
F: 0.212 0.224 0.222 [4 per cell]
F: 0.317 0.000 0.691 [2 per cell]
F: 0.340 0.500 0.673 [2 per cell]

[3]
The following is a PBE calculation of crystalline Hg4BrF at its relaxed geometry, from Alexandria.

Output
N(E_F): 6.24 states/eV/cell
raw formation energy: -0.385 eV/atom

Cell: 8.585 8.650 8.418 Å, 90.00 90.00 90.00°
Space group Cccm (No. 66)
Asymmetric unit:
Hg: 0.046 0.212 0.000 [8 per cell]
Hg: 0.175 0.000 0.250 [8 per cell]
Br: 0.000 0.500 0.250 [4 per cell]
F: 0.250 0.250 0.500 [4 per cell]

[4]
The following is a PBE calculation of crystalline KCdP3 at its relaxed geometry, from Alexandria.

Output
E: -14.39 eV per cell
N(E_F): 4.65 states/eV/cell

Cell: 5.121 5.121 5.121 Å, 90.00 90.00 90.00°
Space group Pm-3m (No. 221)
Asymmetric unit:
K: 0.000 0.000 0.000 [1 per cell]
Cd: 0.500 0.500 0.500 [1 per cell]
P: 0.000 0.500 0.500 [3 per cell]

[5]
The following is a PBE calculation of crystalline YAlBr at its relaxed geometry, from Alexandria.

Output
N(E_F): 5.79 states/eV/cell
raw formation energy: -0.941 eV/atom

Cell: 6.787 3.921 13.234 Å, 90.00 99.08 90.00°
Space group C2/m (No. 12)
Asymmetric unit:
Y: 0.102 0.000 0.290 [4 per cell]
Al: 0.183 0.000 0.553 [4 per cell]
Br: 0.108 0.500 0.851 [4 per cell]

[6]
The following is a PBE calculation of crystalline TcIr4Pt at its relaxed geometry, from Alexandria.

Output
E: -195.14 eV per cell
N(E_F): 30.29 states/eV/cell

Cell: 7.236 7.236 7.236 Å, 90.00 90.00 90.00°
Space group F-43m (No. 216)
Asymmetric unit:
Tc: 0.000 0.000 0.000 [4 per cell]
Ir: 0.125 0.125 0.625 [16 per cell]
Pt: 0.250 0.250 0.250 [4 per cell]